[1]
## Ac2GaHgN (PBE)

Data for a geometry-optimized Ac2GaHgN structure.

CIF file:
```
data_Ac2GaHgN
_chemical_formula_sum 'Ac4 Ga2 Hg2 N2'
_cell_length_a 7.236
_cell_length_b 4.197
_cell_length_c 9.131
_cell_angle_alpha 90.00
_cell_angle_beta 108.90
_cell_angle_gamma 90.00
_symmetry_space_group_name_H-M 'P 1 21/m 1'
_symmetry_Int_Tables_number 11
_symmetry_space_group_name_Hall '-P 2yb'
loop_
_atom_site_label
_atom_site_type_symbol
_atom_site_fract_x
_atom_site_fract_y
_atom_site_fract_z
Ac1 Ac 0.202 0.250 0.384
Ac2 Ac 0.203 0.250 0.961
Ga1 Ga 0.453 0.750 0.242
Hg1 Hg 0.304 0.750 0.699
N1 N 0.161 0.750 0.168
```

raw formation energy = -644 meV per atom
magnetic moment = 0.00 μB per cell



[2]
## Sm4DyEr3S8 (PBE)

Data for a geometry-optimized Sm4DyEr3S8 structure.

CIF file:
```
data_Sm4DyEr3S8
_chemical_formula_sum 'Sm12 Dy3 Er9 S24'
_cell_length_a 7.8379
_cell_length_b 7.8379
_cell_length_c 19.5620
_cell_angle_alpha 90.00
_cell_angle_beta 90.00
_cell_angle_gamma 120.00
_symmetry_space_group_name_H-M 'R -3 m'
_symmetry_Int_Tables_number 166
_symmetry_space_group_name_Hall '-R 3 2"'
loop_
_atom_site_label
_atom_site_type_symbol
_atom_site_fract_x
_atom_site_fract_y
_atom_site_fract_z
Sm1 Sm 0.0000 0.0000 0.0000
Sm2 Sm 0.0000 0.5000 0.0000
Dy1 Dy 0.0000 0.0000 0.5000
Er1 Er 0.0000 0.5000 0.5000
S1 S 0.0000 0.0000 0.2450
S2 S 0.0020 0.5010 0.7545
```

raw formation energy = -1995 meV per atom
magnetic moment = 0.00 μB per cell



[3]
## CeDySc6 (PBE)

Data for a geometry-optimized CeDySc6 structure.

CIF file:
```
data_CeDySc6
_chemical_formula_sum 'Ce1 Dy1 Sc6'
_cell_length_a 6.7191
_cell_length_b 6.7191
_cell_length_c 5.3315
_cell_angle_alpha 90.00
_cell_angle_beta 90.00
_cell_angle_gamma 120.00
_symmetry_space_group_name_H-M 'P -6 m 2'
_symmetry_Int_Tables_number 187
_symmetry_space_group_name_Hall 'P -6 2'
loop_
_atom_site_label
_atom_site_type_symbol
_atom_site_fract_x
_atom_site_fract_y
_atom_site_fract_z
Ce1 Ce 0.0000 0.0000 0.0000
Dy1 Dy 0.6667 0.3333 0.5000
Sc1 Sc 0.0070 0.5035 0.0000
Sc2 Sc 0.1668 0.3337 0.5000
```

magnetic moment = 0.16 μB per cell
ΔE_f = 0.3 eV per formula unit



[4]
## YCrRu2 (PBE)

Data for a geometry-optimized YCrRu2 structure.

CIF file:
```
data_YCrRu2
_chemical_formula_sum 'Y1 Cr1 Ru2'
_cell_length_a 3.184
_cell_length_b 4.383
_cell_length_c 4.773
_cell_angle_alpha 90.00
_cell_angle_beta 90.00
_cell_angle_gamma 90.00
_symmetry_space_group_name_H-M 'P m m m'
_symmetry_Int_Tables_number 47
_symmetry_space_group_name_Hall '-P 2 2'
loop_
_atom_site_label
_atom_site_type_symbol
_atom_site_fract_x
_atom_site_fract_y
_atom_site_fract_z
Y1 Y 0.000 0.000 0.000
Cr1 Cr 0.500 0.000 0.500
Ru1 Ru 0.000 0.500 0.500
Ru2 Ru 0.500 0.500 0.000
```

magnetic moment = 2.39 μB per cell
ΔE_f = 1.3 eV per formula unit



[5]
## Sr2AgPt (PBE)

Data for a geometry-optimized Sr2AgPt structure.

CIF file:
```
data_Sr2AgPt
_chemical_formula_sum 'Sr8 Ag4 Pt4'
_cell_length_a 8.259
_cell_length_b 8.259
_cell_length_c 7.424
_cell_angle_alpha 90.00
_cell_angle_beta 90.00
_cell_angle_gamma 90.00
_symmetry_space_group_name_H-M 'I -4 2 d'
_symmetry_Int_Tables_number 122
_symmetry_space_group_name_Hall 'I -4 2bw'
loop_
_atom_site_label
_atom_site_type_symbol
_atom_site_fract_x
_atom_site_fract_y
_atom_site_fract_z
Sr1 Sr 0.225 0.250 0.125
Ag1 Ag 0.000 0.000 0.500
Pt1 Pt 0.000 0.000 0.000
```

magnetic moment = 0.00 μB per cell
ΔE_f = -1.0 eV per formula unit



[6]
## KSn2PdPt (PBE)

Data for a geometry-optimized KSn2PdPt structure.

CIF file:
```
data_KSn2PdPt
_chemical_formula_sum 'K2 Sn4 Pd2 Pt2'
_cell_length_a 4.794
_cell_length_b 4.794
_cell_length_c 11.089
_cell_angle_alpha 90.00
_cell_angle_beta 90.00
_cell_angle_gamma 90.00
_symmetry_space_group_name_H-M 'I -4 m 2'
_symmetry_Int_Tables_number 119
_symmetry_space_group_name_Hall 'I -4 -2'
loop_
_atom_site_label
_atom_site_type_symbol
_atom_site_fract_x
_atom_site_fract_y
_atom_site_fract_z
K1 K 0.000 0.000 0.000
Sn1 Sn 0.000 0.000 0.358
Pd1 Pd 0.000 0.500 0.250
Pt1 Pt 0.000 0.500 0.750
```

magnetic moment = 0.00 μB per cell
ΔE_f = -2.2 eV per formula unit



[7]
## BAsHBr2 (PBE)

Data for a geometry-optimized BAsHBr2 structure.

CIF file:
```
data_BAsHBr2
_chemical_formula_sum 'B1 As1 H1 Br2'
_cell_length_a 5.005
_cell_length_b 5.005
_cell_length_c 4.102
_cell_angle_alpha 90.00
_cell_angle_beta 90.00
_cell_angle_gamma 90.00
_symmetry_space_group_name_H-M 'P 4/m m m'
_symmetry_Int_Tables_number 123
_symmetry_space_group_name_Hall '-P 4 2'
loop_
_atom_site_label
_atom_site_type_symbol
_atom_site_fract_x
_atom_site_fract_y
_atom_site_fract_z
B1 B 0.000 0.000 0.000
As1 As 0.000 0.000 0.500
H1 H 0.500 0.500 0.500
Br1 Br 0.000 0.500 0.000
```

raw total energy = -2.586 eV per atom
magnetic moment = 1.01 μB per cell



[8]
## Y2Tl2Cu (PBE)

Data for a geometry-optimized Y2Tl2Cu structure.

CIF file:
```
data_Y2Tl2Cu
_chemical_formula_sum 'Y4 Tl4 Cu2'
_cell_length_a 7.461
_cell_length_b 7.461
_cell_length_c 4.975
_cell_angle_alpha 90.00
_cell_angle_beta 90.00
_cell_angle_gamma 90.00
_symmetry_space_group_name_H-M 'P 4/m b m'
_symmetry_Int_Tables_number 127
_symmetry_space_group_name_Hall '-P 4 2ab'
loop_
_atom_site_label
_atom_site_type_symbol
_atom_site_fract_x
_atom_site_fract_y
_atom_site_fract_z
Y1 Y 0.159 0.341 0.000
Tl1 Tl 0.153 0.653 0.500
Cu1 Cu 0.000 0.000 0.000
```

magnetic moment = 0.00 μB per cell
ΔE_f = -0.2 eV per formula unit



[9]
## Eu2InAu (PBE)

Data for a geometry-optimized Eu2InAu structure.

CIF file:
```
data_Eu2InAu
_chemical_formula_sum 'Eu2 In1 Au1'
_cell_length_a 3.848
_cell_length_b 3.848
_cell_length_c 7.652
_cell_angle_alpha 90.00
_cell_angle_beta 90.00
_cell_angle_gamma 90.00
_symmetry_space_group_name_H-M 'P 4/m m m'
_symmetry_Int_Tables_number 123
_symmetry_space_group_name_Hall '-P 4 2'
loop_
_atom_site_label
_atom_site_type_symbol
_atom_site_fract_x
_atom_site_fract_y
_atom_site_fract_z
Eu1 Eu 0.000 0.000 0.234
In1 In 0.500 0.500 0.500
Au1 Au 0.500 0.500 0.000
```

magnetic moment = 14.16 μB per cell
ΔE_f = -2.4 eV per formula unit



[10]
## RbSn3Au (PBE)

Data for a geometry-optimized RbSn3Au structure.

CIF file:
```
data_RbSn3Au
_chemical_formula_sum 'Rb2 Sn6 Au2'
_cell_length_a 6.509
_cell_length_b 6.855
_cell_length_c 6.685
_cell_angle_alpha 90.00
_cell_angle_beta 90.04
_cell_angle_gamma 90.00
_symmetry_space_group_name_H-M 'P 1 m 1'
_symmetry_Int_Tables_number 6
_symmetry_space_group_name_Hall 'P -2y'
loop_
_atom_site_label
_atom_site_type_symbol
_atom_site_fract_x
_atom_site_fract_y
_atom_site_fract_z
Rb1 Rb 0.000 0.000 0.000
Rb2 Rb 0.405 0.500 0.498
Sn1 Sn 0.061 0.500 0.127
Sn2 Sn 0.341 0.000 0.625
Sn3 Sn 0.495 0.262 0.990
Sn4 Sn 0.909 0.238 0.491
Au1 Au 0.597 0.000 0.300
Au2 Au 0.806 0.500 0.801
```

magnetic moment = 0.00 μB per cell
ΔE_f = -0.7 eV per formula unit



[11]
## SbSN3 (PBE)

Data for a geometry-optimized SbSN3 structure.

CIF file:
```
data_SbSN3
_chemical_formula_sum 'Sb1 S1 N3'
_cell_length_a 3.657
_cell_length_b 3.657
_cell_length_c 3.657
_cell_angle_alpha 90.00
_cell_angle_beta 90.00
_cell_angle_gamma 90.00
_symmetry_space_group_name_H-M 'P m -3 m'
_symmetry_Int_Tables_number 221
_symmetry_space_group_name_Hall '-P 4 2 3'
loop_
_atom_site_label
_atom_site_type_symbol
_atom_site_fract_x
_atom_site_fract_y
_atom_site_fract_z
Sb1 Sb 0.000 0.000 0.000
S1 S 0.500 0.500 0.500
N1 N 0.000 0.500 0.500
```

raw formation energy = 1609 meV per atom
magnetic moment = 0.00 μB per cell



[12]
## Pa2CuTc (PBE)

Data for a geometry-optimized Pa2CuTc structure.

CIF file:
```
data_Pa2CuTc
_chemical_formula_sum 'Pa6 Cu3 Tc3'
_cell_length_a 3.1518
_cell_length_b 3.1518
_cell_length_c 28.0287
_cell_angle_alpha 90.00
_cell_angle_beta 90.00
_cell_angle_gamma 120.00
_symmetry_space_group_name_H-M 'R -3 m'
_symmetry_Int_Tables_number 166
_symmetry_space_group_name_Hall '-R 3 2"'
loop_
_atom_site_label
_atom_site_type_symbol
_atom_site_fract_x
_atom_site_fract_y
_atom_site_fract_z
Pa1 Pa 0.0000 0.0000 0.2474
Cu1 Cu 0.0000 0.0000 0.0000
Tc1 Tc 0.0000 0.0000 0.5000
```

magnetic moment = 0.00 μB per cell
ΔE_f = 0.8 eV per formula unit